(1)
A plane-wave DFT calculation with PBE-GGA was carried out for a geometry-optimized Sr2NbAlP structure.

abc: 5.9601 5.9601 4.7669
angles: 90.00 90.00 90.00
Space group P4/mmm (No. 123)
Unique sites:
Sr1 0.0000 0.5000 0.0000
Nb1 0.0000 0.0000 0.0000
Al1 0.5000 0.5000 0.5000
P1 0.0000 0.0000 0.5000

ΔH_f (0 K)	2.65	eV/f.u.

=====

(2)
A plane-wave DFT calculation with PBE-GGA was carried out for a geometry-optimized InPb3Cl structure.

abc: 5.6079 5.6079 5.6079
angles: 90.00 90.00 90.00
Space group Pm-3m (No. 221)
Unique sites:
In1 0.0000 0.0000 0.0000
Pb1 0.0000 0.5000 0.5000
Cl1 0.5000 0.5000 0.5000

formation energy from raw total energies	0.213	eV/atom

=====

(3)
A plane-wave DFT calculation with PBE-GGA was carried out for a geometry-optimized PmSbPtAu structure.

abc: 7.0641 7.0641 7.0641
angles: 90.00 90.00 90.00
Space group F-43m (No. 216)
Unique sites:
Pm1 0.0000 0.0000 0.0000
Sb1 0.0000 0.0000 0.5000
Pt1 0.2500 0.2500 0.2500
Au1 0.2500 0.2500 0.7500

formation energy from raw total energies	-0.696	eV/atom

=====

(4)
A plane-wave DFT calculation with PBE-GGA was carried out for a geometry-optimized Sr2As3Pd5 structure.

abc: 4.2961 4.2961 11.3612
angles: 90.00 90.00 90.00
Space group P-4m2 (No. 115)
Unique sites:
Sr1 0.0000 0.5000 0.2233
As1 0.0000 0.5000 0.6391
As2 0.5000 0.5000 0.5000
Pd1 0.0000 0.0000 0.0000
Pd2 0.0000 0.0000 0.5000
Pd3 0.0000 0.5000 0.8492
Pd4 0.5000 0.5000 0.0000

ΔH_f (0 K)	-4.81	eV/f.u.

=====

(5)
A plane-wave DFT calculation with PBE-GGA was carried out for a geometry-optimized Nd5Y3Tm3 structure.

abc: 11.2741 11.2741 3.4688
angles: 90.00 90.00 120.00
Space group P-62m (No. 189)
Unique sites:
Nd1 0.0000 0.6631 0.0000
Nd2 0.3333 0.6667 0.0000
Y1 0.0000 0.4039 0.5000
Tm1 0.0000 0.1584 0.0000

ΔH_f (0 K)	3.47	eV/f.u.

=====

(6)
A plane-wave DFT calculation with PBE-GGA was carried out for a geometry-optimized LaTl2PbW structure.

abc: 5.6796 5.6796 6.2203
angles: 90.00 90.00 90.00
Space group P4/mmm (No. 123)
Unique sites:
La1 0.0000 0.0000 0.0000
Tl1 0.0000 0.5000 0.5000
Pb1 0.0000 0.0000 0.5000
W1 0.5000 0.5000 0.0000

ΔH_f (0 K)	7.57	eV/f.u.

=====

(7)
A plane-wave DFT calculation with PBE-GGA was carried out for a geometry-optimized AlIn2HgSe6 structure.

abc: 13.6421 14.0422 7.1082
angles: 90.00 114.86 90.00
Space group C2/c (No. 15)
Unique sites:
Al1 0.0000 0.1650 0.2500
In1 0.1874 0.4127 0.6775
Hg1 0.0000 0.1923 0.7500
Se1 0.1009 0.4385 0.9445
Se2 0.1042 0.0721 0.1103
Se3 0.1338 0.2307 0.5769

formation energy from raw total energies	-0.392	eV/atom

=====

(8)
A plane-wave DFT calculation with PBE-GGA was carried out for a geometry-optimized Nd2Zn5Cu3 structure.

abc: 4.0819 4.0819 11.0157
angles: 90.00 90.00 90.00
Space group P-4m2 (No. 115)
Unique sites:
Nd1 0.0000 0.5000 0.2347
Zn1 0.0000 0.0000 0.5000
Zn2 0.0000 0.5000 0.6454
Zn3 0.5000 0.5000 0.0000
Zn4 0.5000 0.5000 0.5000
Cu1 0.0000 0.0000 0.0000
Cu2 0.0000 0.5000 0.8691

ΔH_f (0 K)	-2.39	eV/f.u.